# ReAsIr4 meta-GGA SCAN single point on PBEsol structure
data_ReAsIr4
_space_group_name_H-M_alt 'P 1'
_space_group_IT_number 1
_cell_length_a 5.1078
_cell_length_b 5.1078
_cell_length_c 5.1078
_cell_angle_alpha 60.00
_cell_angle_beta 60.00
_cell_angle_gamma 60.00
loop_
_space_group_symop_operation_xyz
'x,y,z'
loop_
_atom_site_label
_atom_site_fract_x
_atom_site_fract_y
_atom_site_fract_z
_atom_site_occupancy
Re1 0.0000 0.0000 0.0000 1
As1 0.7500 0.7500 0.7500 1
Ir1 0.3747 0.3747 0.3747 1
Ir2 0.3747 0.3747 0.8759 1
Ir3 0.3747 0.8759 0.3747 1
Ir4 0.8759 0.3747 0.3747 1
# DOS(E_F) = 1.148 states/eV/atom
# DFT total energy = -370.42 eV per cell
# calculated formation energy = 0.878 eV per atom